# 1
This record from Alexandria via LeMat-Bulk describes a geometry-optimized LiGaRhF6 structure. The functional is PBE-GGA.

The structure belongs to space group P-31c (No. 163); the cell edges are 5.2998, 5.2998 and 8.9718 Å and the angles 90.00°, 90.00° and 120.00°. Symmetry generates all atoms from Li at (0.0000, 0.0000, 0.0000), Ga at (0.3333, 0.6667, 0.2500), Rh at (0.3333, 0.6667, 0.7500) and F at (0.0335, 0.3580, 0.1305).

For the total energy, the calculation gives -85.1 eV for the cell shown.

# 2
This record from Alexandria via LeMat-Bulk describes a geometry-optimized LiNbN2 structure. The functional is PBE-GGA.

The structure belongs to space group I-42d (No. 122); the cell edges are 4.825, 4.825 and 9.217 Å and the angles 90.00°, 90.00° and 90.00°. Symmetry generates all atoms from Li at (0.000, 0.000, 0.000), Nb at (0.000, 0.000, 0.500) and N at (0.215, 0.250, 0.625).

For the total energy, the calculation gives -127.9 eV for the cell shown. As for the polymorph energy (0 for the lowest one): 1.58 kcal/mol of atoms.

# 3
This record from Alexandria via LeMat-Bulk describes a geometry-optimized Cs3Y2ThS6 structure. The functional is PBE-GGA.

The structure belongs to space group C2/m (No. 12); the cell edges are 7.152, 12.389 and 8.446 Å and the angles 90.00°, 106.40° and 90.00°. Symmetry generates all atoms from Cs at (0.000, 0.000, 0.000), Cs at (0.000, 0.333, 0.000), Y at (0.000, 0.167, 0.500), Th at (0.000, 0.500, 0.500), S at (0.226, 0.000, 0.684) and S at (0.229, 0.332, 0.684).

For the total energy, the calculation gives -138.0 eV for the cell shown.

# 4
This record from Alexandria via LeMat-Bulk describes a geometry-optimized La3SnP2Pt9 structure. The functional is PBE-GGA.

The structure belongs to space group P-3m1 (No. 164); the cell edges are 7.4168, 7.4168 and 6.7322 Å and the angles 90.00°, 90.00° and 120.00°. Symmetry generates all atoms from La at (0.0000, 0.0000, 0.0000), La at (0.3333, 0.6667, 0.6647), Sn at (0.0000, 0.0000, 0.5000), P at (0.3333, 0.6667, 0.1309), Pt at (0.0000, 0.5000, 0.0000) and Pt at (0.1817, 0.3634, 0.3207).

For the total energy, the calculation gives -94.8 eV for the cell shown.

| no. | DOS(E_F) (states/eV/atom) |
| --- | --- |
| 1 | 0.738 |
| 2 | 0.005 |
| 3 | 0.327 |
| 4 | 0.437 |